Entry 1:
DFT (SCAN) results for a PBEsol-optimized structure of Rb2Mo3SO13.

a = 9.5587 Å, b = 13.0277 Å, c = 11.5641 Å
α = 90.00°, β = 119.72°, γ = 90.00°
Element x y z (fractional)
1 Rb 0.0268 0.1803 0.4596
2 Rb 0.0268 0.3197 0.9596
3 Rb 0.4604 0.6876 0.4539
4 Rb 0.4604 0.8124 0.9539
5 Rb 0.5396 0.1876 0.0461
6 Rb 0.5396 0.3124 0.5461
7 Rb 0.9732 0.6803 0.0404
8 Rb 0.9732 0.8197 0.5404
9 Mo 0.1495 0.5639 0.7985
10 Mo 0.1495 0.9361 0.2985
11 Mo 0.1907 0.5187 0.5274
12 Mo 0.1907 0.9813 0.0274
13 Mo 0.4612 0.0109 0.6313
14 Mo 0.4612 0.4891 0.1313
15 Mo 0.5388 0.5109 0.8687
16 Mo 0.5388 0.9891 0.3687
17 Mo 0.8093 0.0187 0.9726
18 Mo 0.8093 0.4813 0.4726
19 Mo 0.8505 0.0639 0.7015
20 Mo 0.8505 0.4361 0.2015
21 S 0.2507 0.1706 0.2503
22 S 0.2507 0.3294 0.7503
23 S 0.7493 0.6706 0.2497
24 S 0.7493 0.8294 0.7497
25 O 0.0116 0.5364 0.6089
26 O 0.0116 0.9636 0.1089
27 O 0.0317 0.5510 0.8691
28 O 0.0317 0.9490 0.3691
29 O 0.1575 0.1042 0.2952
30 O 0.1575 0.3958 0.7952
31 O 0.1662 0.6460 0.4888
32 O 0.1661 0.6933 0.7827
33 O 0.1661 0.8067 0.2828
34 O 0.1662 0.8540 0.9888
35 O 0.2022 0.1405 0.1096
36 O 0.2022 0.3595 0.6096
37 O 0.2202 0.2223 0.7593
38 O 0.2202 0.2777 0.2593
39 O 0.3261 0.0176 0.9809
40 O 0.3261 0.4824 0.4809
41 O 0.3272 0.5393 0.7186
42 O 0.3272 0.9607 0.2186
43 O 0.3518 0.5399 0.1960
44 O 0.3518 0.9601 0.6960
45 O 0.3613 0.5424 0.9516
46 O 0.3613 0.9576 0.4516
47 O 0.3932 0.1343 0.5949
48 O 0.3932 0.3657 0.0949
49 O 0.4258 0.1457 0.3380
50 O 0.4258 0.3543 0.8380
51 O 0.5742 0.6457 0.1620
52 O 0.5742 0.8543 0.6620
53 O 0.6068 0.6343 0.9051
54 O 0.6068 0.8657 0.4051
55 O 0.6387 0.0424 0.5484
56 O 0.6387 0.4576 0.0484
57 O 0.6482 0.0399 0.3040
58 O 0.6482 0.4601 0.8040
59 O 0.6728 0.0393 0.7814
60 O 0.6728 0.4607 0.2814
61 O 0.6739 0.5176 0.5191
62 O 0.6739 0.9824 0.0191
63 O 0.7798 0.7223 0.7407
64 O 0.7798 0.7777 0.2407
65 O 0.7978 0.6405 0.3904
66 O 0.7978 0.8595 0.8904
67 O 0.8338 0.1460 0.0112
68 O 0.8339 0.1933 0.7173
69 O 0.8339 0.3067 0.2172
70 O 0.8338 0.3540 0.5112
71 O 0.8425 0.6042 0.2048
72 O 0.8425 0.8958 0.7048
73 O 0.9683 0.0510 0.6309
74 O 0.9683 0.4490 0.1309
75 O 0.9884 0.0364 0.8911
76 O 0.9884 0.4636 0.3911

Output
- space-group type = P2_1/c, No. 14
- crystal system = monoclinic
- formation energy (no corrections) (eV/atom) = -2.099
- DOS(E_F) (states/eV per atom) = 0.00
- density (g cm⁻³) = 3.71
- uncorrected energy (eV/atom) = -14.560

Entry 2:
DFT (SCAN) results for a PBEsol-optimized structure of RbMoSO2.

a = 4.0303 Å, b = 4.0303 Å, c = 5.4398 Å
α = 90.00°, β = 90.00°, γ = 90.00°
Element x y z (fractional)
1 Rb 0.0000 0.0000 0.0000
2 Mo 0.5000 0.5000 0.0000
3 S 0.0000 0.0000 0.5000
4 O 0.0000 0.5000 0.5000
5 O 0.5000 0.0000 0.5000

Output
- space-group type = P4/mmm, No. 123
- crystal system = tetragonal
- formation energy (no corrections) (eV/atom) = 1.231
- DOS(E_F) (states/eV per atom) = 0.24
- density (g cm⁻³) = 4.61
- uncorrected energy (eV/atom) = -14.312

Entry 3:
DFT (SCAN) results for a PBEsol-optimized structure of RbSbMoO6.

a = 7.2612 Å, b = 7.2612 Å, c = 7.2612 Å
α = 120.58°, β = 92.01°, γ = 117.14°
Element x y z (fractional)
1 Rb 0.1372 0.2500 0.3872
2 Rb 0.8628 0.7500 0.6128
3 Sb 0.4274 0.4274 0.0000
4 Sb 0.4274 0.9274 0.5000
5 Mo 0.4775 0.9644 0.0131
6 Mo 0.9512 0.4644 0.9869
7 O 0.1100 0.3055 0.9352
8 O 0.1100 0.6747 0.3044
9 O 0.1106 0.6807 0.9298
10 O 0.3411 0.1715 0.6695
11 O 0.3703 0.1747 0.0648
12 O 0.3703 0.8055 0.6956
13 O 0.4883 0.0514 0.3069
14 O 0.4883 0.6814 0.9369
15 O 0.5020 0.6715 0.3305
16 O 0.7446 0.1814 0.6931
17 O 0.7446 0.5514 0.0631
18 O 0.7509 0.1807 0.0702

Output
- space-group type = Ima2, No. 46
- crystal system = orthorhombic
- formation energy (no corrections) (eV/atom) = -1.966
- DOS(E_F) (states/eV per atom) = 0.00
- density (g cm⁻³) = 4.82
- uncorrected energy (eV/atom) = -16.441

Entry 4:
DFT (SCAN) results for a PBEsol-optimized structure of RbScMo2O8.

a = 5.7986 Å, b = 5.7986 Å, c = 7.5202 Å
α = 90.00°, β = 90.00°, γ = 120.00°
Element x y z (fractional)
1 Rb 0.0000 0.0000 0.0000
2 Sc 0.0000 0.0000 0.5000
3 Mo 0.3333 0.6667 0.2588
4 Mo 0.6667 0.3333 0.7412
5 O 0.1654 0.3308 0.3333
6 O 0.1654 0.8346 0.3333
7 O 0.3308 0.1654 0.6667
8 O 0.3333 0.6667 0.0303
9 O 0.6667 0.3333 0.9697
10 O 0.6692 0.8346 0.3333
11 O 0.8346 0.1654 0.6667
12 O 0.8346 0.6692 0.6667

Output
- space-group type = P-3m1, No. 164
- crystal system = trigonal
- formation energy (no corrections) (eV/atom) = -2.598
- DOS(E_F) (states/eV per atom) = 0.00
- density (g cm⁻³) = 3.41
- uncorrected energy (eV/atom) = -15.481

Entry 5:
DFT (SCAN) results for a PBEsol-optimized structure of Rb2Mo3SeO12.

a = 7.2730 Å, b = 7.2730 Å, c = 12.0140 Å
α = 90.00°, β = 90.00°, γ = 120.00°
Element x y z (fractional)
1 Rb 0.3333 0.6667 0.0000
2 Rb 0.3333 0.6667 0.3885
3 Rb 0.6667 0.3333 0.5000
4 Rb 0.6667 0.3333 0.8885
5 Mo 0.1360 0.7964 0.7217
6 Mo 0.2036 0.3395 0.7217
7 Mo 0.3395 0.1360 0.2217
8 Mo 0.6605 0.8640 0.7217
9 Mo 0.7964 0.6605 0.2217
10 Mo 0.8640 0.2036 0.2217
11 Se 0.0000 0.0000 0.4537
12 Se 0.0000 0.0000 0.9537
13 O 0.0869 0.5385 0.7676
14 O 0.1201 0.2490 0.8928
15 O 0.1206 0.8711 0.2094
16 O 0.1289 0.2496 0.2094
17 O 0.1289 0.8799 0.8928
18 O 0.2006 0.7959 0.5847
19 O 0.2041 0.4047 0.5847
20 O 0.2490 0.1289 0.3928
21 O 0.2496 0.1206 0.7094
22 O 0.4047 0.2006 0.0847
23 O 0.4516 0.9131 0.7676
24 O 0.4615 0.5484 0.7676
25 O 0.5385 0.4516 0.2676
26 O 0.5484 0.0869 0.2676
27 O 0.5953 0.7994 0.5847
28 O 0.7504 0.8794 0.2094
29 O 0.7510 0.8711 0.8928
30 O 0.7959 0.5953 0.0847
31 O 0.7994 0.2041 0.0847
32 O 0.8711 0.1201 0.3928
33 O 0.8711 0.7504 0.7094
34 O 0.8794 0.1289 0.7094
35 O 0.8799 0.7510 0.3928
36 O 0.9131 0.4615 0.2676

Output
- space-group type = P6_3, No. 173
- crystal system = hexagonal
- formation energy (no corrections) (eV/atom) = -2.003
- DOS(E_F) (states/eV per atom) = 0.00
- density (g cm⁻³) = 4.40
- uncorrected energy (eV/atom) = -15.391

Entry 6:
DFT (SCAN) results for a PBEsol-optimized structure of RbSmMo2O8.

a = 7.4672 Å, b = 7.4672 Å, c = 7.7146 Å
α = 117.92°, β = 117.92°, γ = 88.85°
Element x y z (fractional)
1 Rb 0.1956 0.8044 0.7500
2 Rb 0.8044 0.1956 0.2500
3 Sm 0.2299 0.7701 0.2500
4 Sm 0.7701 0.2299 0.7500
5 Mo 0.3054 0.3073 0.7618
6 Mo 0.3073 0.3054 0.2618
7 Mo 0.6927 0.6946 0.7382
8 Mo 0.6946 0.6927 0.2382
9 O 0.0553 0.2035 0.6947
10 O 0.0760 0.3908 0.1307
11 O 0.2035 0.0553 0.1947
12 O 0.2360 0.3871 0.5642
13 O 0.3678 0.5808 0.0253
14 O 0.3871 0.2360 0.0642
15 O 0.3908 0.0760 0.6307
16 O 0.4192 0.6322 0.4747
17 O 0.5808 0.3678 0.5253
18 O 0.6092 0.9240 0.3693
19 O 0.6129 0.7640 0.9358
20 O 0.6322 0.4192 0.9747
21 O 0.7640 0.6129 0.4358
22 O 0.7965 0.9447 0.8053
23 O 0.9240 0.6092 0.8693
24 O 0.9447 0.7965 0.3053

Output
- space-group type = C2/c, No. 15
- crystal system = monoclinic
- formation energy (no corrections) (eV/atom) = -2.633
- DOS(E_F) (states/eV per atom) = 0.00
- density (g cm⁻³) = 5.68
- uncorrected energy (eV/atom) = -18.033

Entry 7:
DFT (SCAN) results for a PBEsol-optimized structure of Rb8ThMo6O24.

a = 10.4314 Å, b = 10.4314 Å, c = 14.9695 Å
α = 96.81°, β = 96.81°, γ = 118.31°
Element x y z (fractional)
1 Rb 0.0357 0.1858 0.5506
2 Rb 0.0844 0.9156 0.7500
3 Rb 0.1703 0.6748 0.9530
4 Rb 0.1858 0.0357 0.0506
5 Rb 0.3219 0.4782 0.4538
6 Rb 0.3252 0.8297 0.5470
7 Rb 0.4091 0.5909 0.7500
8 Rb 0.4782 0.3219 0.9538
9 Rb 0.5218 0.6781 0.0462
10 Rb 0.5909 0.4091 0.2500
11 Rb 0.6748 0.1703 0.4530
12 Rb 0.6781 0.5218 0.5462
13 Rb 0.8142 0.9643 0.9494
14 Rb 0.8297 0.3252 0.0470
15 Rb 0.9156 0.0844 0.2500
16 Rb 0.9643 0.8142 0.4494
17 Th 0.2706 0.7294 0.2500
18 Th 0.7294 0.2706 0.7500
19 Mo 0.0392 0.5416 0.6488
20 Mo 0.1186 0.2881 0.8422
21 Mo 0.2150 0.4002 0.1453
22 Mo 0.2881 0.1186 0.3422
23 Mo 0.4002 0.2150 0.6453
24 Mo 0.4584 0.9608 0.8512
25 Mo 0.5416 0.0392 0.1488
26 Mo 0.5998 0.7850 0.3547
27 Mo 0.7119 0.8814 0.6578
28 Mo 0.7850 0.5998 0.8547
29 Mo 0.8814 0.7119 0.1578
30 Mo 0.9608 0.4584 0.3512
31 O 0.0022 0.6688 0.6000
32 O 0.0465 0.2346 0.1047
33 O 0.0522 0.7023 0.1722
34 O 0.0998 0.1448 0.8993
35 O 0.1144 0.6134 0.7657
36 O 0.1265 0.6392 0.3649
37 O 0.1448 0.0998 0.3993
38 O 0.1635 0.2522 0.7366
39 O 0.1719 0.5213 0.5963
40 O 0.2033 0.5490 0.1033
41 O 0.2346 0.0465 0.6047
42 O 0.2483 0.4810 0.2646
43 O 0.2522 0.1635 0.2366
44 O 0.2681 0.4565 0.9056
45 O 0.2977 0.9478 0.3278
46 O 0.3312 0.9978 0.9000
47 O 0.3608 0.8735 0.1351
48 O 0.3622 0.3864 0.1097
49 O 0.3864 0.3622 0.6097
50 O 0.3866 0.8856 0.7343
51 O 0.4510 0.7967 0.3967
52 O 0.4565 0.2681 0.4056
53 O 0.4787 0.8281 0.9037
54 O 0.4810 0.2483 0.7646
55 O 0.5190 0.7517 0.2354
56 O 0.5213 0.1719 0.0963
57 O 0.5435 0.7319 0.5944
58 O 0.5490 0.2033 0.6033
59 O 0.6134 0.1144 0.2657
60 O 0.6136 0.6378 0.3903
61 O 0.6378 0.6136 0.8903
62 O 0.6392 0.1265 0.8649
63 O 0.6688 0.0022 0.1000
64 O 0.7023 0.0522 0.6722
65 O 0.7319 0.5435 0.0944
66 O 0.7478 0.8365 0.7634
67 O 0.7517 0.5190 0.7354
68 O 0.7654 0.9535 0.3953
69 O 0.7967 0.4510 0.8967
70 O 0.8281 0.4787 0.4037
71 O 0.8365 0.7478 0.2634
72 O 0.8552 0.9002 0.6007
73 O 0.8735 0.3608 0.6351
74 O 0.8856 0.3866 0.2343
75 O 0.9002 0.8552 0.1007
76 O 0.9478 0.2977 0.8278
77 O 0.9535 0.7654 0.8953
78 O 0.9978 0.3312 0.4000

Output
- space-group type = C2/c, No. 15
- crystal system = monoclinic
- formation energy (no corrections) (eV/atom) = -2.429
- DOS(E_F) (states/eV per atom) = 0.00
- density (g cm⁻³) = 4.46
- uncorrected energy (eV/atom) = -18.345

Entry 8:
DFT (SCAN) results for a PBEsol-optimized structure of Rb3Zn3Mo4O16.

a = 10.2820 Å, b = 10.2820 Å, c = 10.2820 Å
α = 109.47°, β = 109.47°, γ = 109.47°
Element x y z (fractional)
1 Rb 0.1250 0.7500 0.8750
2 Rb 0.2500 0.6250 0.3750
3 Rb 0.3750 0.2500 0.6250
4 Rb 0.6250 0.3750 0.2500
5 Rb 0.7500 0.8750 0.1250
6 Rb 0.8750 0.1250 0.7500
7 Zn 0.1250 0.8750 0.2500
8 Zn 0.2500 0.1250 0.8750
9 Zn 0.3750 0.6250 0.7500
10 Zn 0.6250 0.7500 0.3750
11 Zn 0.7500 0.3750 0.6250
12 Zn 0.8750 0.2500 0.1250
13 Mo 0.0000 0.2800 0.5000
14 Mo 0.0000 0.7800 0.5000
15 Mo 0.2200 0.2200 0.2200
16 Mo 0.2800 0.5000 0.0000
17 Mo 0.5000 0.0000 0.2800
18 Mo 0.5000 0.0000 0.7800
19 Mo 0.7200 0.7200 0.7200
20 Mo 0.7800 0.5000 0.0000
21 O 0.0000 0.1121 0.5000
22 O 0.0000 0.6121 0.5000
23 O 0.0665 0.9235 0.6999
24 O 0.0765 0.2764 0.1430
25 O 0.1121 0.5000 0.0000
26 O 0.1334 0.8570 0.4335
27 O 0.1430 0.0765 0.2764
28 O 0.1999 0.4235 0.5665
29 O 0.2236 0.3001 0.8666
30 O 0.2764 0.1430 0.0765
31 O 0.3001 0.8666 0.2236
32 O 0.3570 0.6334 0.9335
33 O 0.3666 0.8001 0.7236
34 O 0.3879 0.3879 0.3879
35 O 0.4235 0.5665 0.1999
36 O 0.4335 0.1334 0.8570
37 O 0.5000 0.0000 0.1121
38 O 0.5000 0.0000 0.6121
39 O 0.5665 0.1999 0.4235
40 O 0.5765 0.6430 0.7764
41 O 0.6121 0.5000 0.0000
42 O 0.6334 0.9335 0.3570
43 O 0.6430 0.7764 0.5765
44 O 0.6999 0.0665 0.9235
45 O 0.7236 0.3666 0.8001
46 O 0.7764 0.5765 0.6430
47 O 0.8001 0.7236 0.3666
48 O 0.8570 0.4335 0.1334
49 O 0.8666 0.2236 0.3001
50 O 0.8879 0.8879 0.8879
51 O 0.9235 0.6999 0.0665
52 O 0.9335 0.3570 0.6334

Output
- space-group type = I-43d, No. 220
- crystal system = cubic
- formation energy (no corrections) (eV/atom) = -2.043
- DOS(E_F) (states/eV per atom) = 0.29
- density (g cm⁻³) = 4.34
- uncorrected energy (eV/atom) = -15.197

Entry 9:
DFT (SCAN) results for a PBEsol-optimized structure of Rb8ZrMo6O24.

a = 10.6583 Å, b = 10.6583 Å, c = 7.9138 Å
α = 97.90°, β = 97.90°, γ = 124.66°
Element x y z (fractional)
1 Rb 0.0162 0.3670 0.6103
2 Rb 0.1604 0.8396 0.0000
3 Rb 0.2889 0.2889 0.8449
4 Rb 0.3670 0.0162 0.6103
5 Rb 0.6330 0.9838 0.3897
6 Rb 0.7111 0.7111 0.1551
7 Rb 0.8396 0.1604 0.0000
8 Rb 0.9838 0.6330 0.3897
9 Zr 0.5000 0.5000 0.5000
10 Mo 0.1095 0.1095 0.2932
11 Mo 0.2414 0.5536 0.2048
12 Mo 0.4464 0.7586 0.7952
13 Mo 0.5536 0.2414 0.2048
14 Mo 0.7586 0.4464 0.7952
15 Mo 0.8905 0.8905 0.7068
16 O 0.0670 0.9176 0.6932
17 O 0.0824 0.9330 0.3068
18 O 0.0872 0.4292 0.2919
19 O 0.1475 0.1475 0.0927
20 O 0.1813 0.4733 0.9751
21 O 0.2632 0.7251 0.7391
22 O 0.2749 0.7368 0.2609
23 O 0.2808 0.2808 0.4673
24 O 0.4164 0.5682 0.3061
25 O 0.4292 0.0872 0.2919
26 O 0.4318 0.5836 0.6939
27 O 0.4733 0.1813 0.9751
28 O 0.5267 0.8187 0.0249
29 O 0.5682 0.4164 0.3061
30 O 0.5708 0.9128 0.7081
31 O 0.5836 0.4318 0.6939
32 O 0.7192 0.7192 0.5327
33 O 0.7251 0.2632 0.7391
34 O 0.7368 0.2749 0.2609
35 O 0.8187 0.5267 0.0249
36 O 0.8525 0.8525 0.9073
37 O 0.9128 0.5708 0.7081
38 O 0.9176 0.0670 0.6932
39 O 0.9330 0.0824 0.3068

Output
- space-group type = C2/m, No. 12
- crystal system = monoclinic
- formation energy (no corrections) (eV/atom) = -2.395
- DOS(E_F) (states/eV per atom) = 0.00
- density (g cm⁻³) = 4.08
- uncorrected energy (eV/atom) = -16.637

Entry 10:
DFT (SCAN) results for a PBEsol-optimized structure of MoRhO2.

a = 2.7313 Å, b = 2.7313 Å, c = 20.0157 Å
α = 90.00°, β = 90.00°, γ = 120.00°
Element x y z (fractional)
1 Mo 0.0000 0.0000 0.0000
2 Mo 0.3333 0.6667 0.6667
3 Mo 0.6667 0.3333 0.3333
4 Rh 0.0000 0.0000 0.5000
5 Rh 0.3333 0.6667 0.1667
6 Rh 0.6667 0.3333 0.8333
7 O 0.0000 0.0000 0.4008
8 O 0.0000 0.0000 0.5992
9 O 0.3333 0.6667 0.0675
10 O 0.3333 0.6667 0.2659
11 O 0.6667 0.3333 0.7341
12 O 0.6667 0.3333 0.9325

Output
- space-group type = R-3m, No. 166
- crystal system = trigonal
- formation energy (no corrections) (eV/atom) = -1.236
- DOS(E_F) (states/eV per atom) = 0.51
- density (g cm⁻³) = 8.89
- uncorrected energy (eV/atom) = -21.516

Entry 11:
DFT (SCAN) results for a PBEsol-optimized structure of MoRu3O.

a = 4.5810 Å, b = 4.5810 Å, c = 4.5810 Å
α = 90.00°, β = 90.00°, γ = 90.00°
Element x y z (fractional)
1 Mo 0.0000 0.0000 0.0000
2 Ru 0.0000 0.0000 0.5000
3 Ru 0.0000 0.5000 0.0000
4 Ru 0.5000 0.0000 0.0000
5 O 0.5000 0.5000 0.5000

Output
- space-group type = Pm-3m, No. 221
- crystal system = cubic
- formation energy (no corrections) (eV/atom) = 2.184
- DOS(E_F) (states/eV per atom) = 0.90
- density (g cm⁻³) = 7.17
- uncorrected energy (eV/atom) = -26.935

Entry 12:
DFT (SCAN) results for a PBEsol-optimized structure of MoRuO3.

a = 3.8648 Å, b = 3.8648 Å, c = 3.8648 Å
α = 90.00°, β = 90.00°, γ = 90.00°
Element x y z (fractional)
1 Mo 0.0000 0.0000 0.0000
2 Ru 0.5000 0.5000 0.5000
3 O 0.0000 0.0000 0.5000
4 O 0.0000 0.5000 0.0000
5 O 0.5000 0.0000 0.0000

Output
- space-group type = Pm-3m, No. 221
- crystal system = cubic
- formation energy (no corrections) (eV/atom) = -0.890
- DOS(E_F) (states/eV per atom) = 0.53
- density (g cm⁻³) = 7.05
- uncorrected energy (eV/atom) = -18.571